DFT (PBE) results for a relaxed Tb2Ga5IrRh2 crystal.

Cell and atoms, written as extended XYZ:
```
20
Lattice="9.6352 0.0000 0.0000 0.0000 9.6352 0.0000 0.0000 0.0000 3.8410" Properties=species:S:1:pos:R:3 pbc="T T T"
Tb 1.7708 3.0468 0.0000
Tb 3.0468 7.8644 0.0000
Tb 6.5884 1.7708 0.0000
Tb 7.8644 6.5884 0.0000
Ga 0.0000 4.8176 1.9205
Ga 0.4931 7.7672 1.9205
Ga 1.8680 0.4931 1.9205
Ga 2.9496 5.3107 1.9205
Ga 4.3245 2.9496 1.9205
Ga 4.8176 0.0000 1.9205
Ga 5.3107 6.6856 1.9205
Ga 6.6856 4.3245 1.9205
Ga 7.7672 9.1421 1.9205
Ga 9.1421 1.8680 1.9205
Ir 0.0000 0.0000 0.0000
Ir 4.8176 4.8176 0.0000
Rh 1.1169 5.9345 0.0000
Rh 3.7007 1.1169 0.0000
Rh 5.9345 8.5183 0.0000
Rh 8.5183 3.7007 0.0000
```

Summary:
The calculated volume comes out at 356.59 Å³/cell. The calculation puts the formation energy at -0.574 eV per atom. The calculation puts the total energy at -0.395 Ry/atom.